The following is a DFT calculation (GGA-PBE) of an optimized crystal structure of TlSnPS6.

POSCAR file:
```
TlSnPS6
1.0
-5.210 -1.120 3.297
-0.266 -4.928 3.861
2.114 3.412 4.500
P S Tl Sn
1 6 1 1
Direct
0.333 0.333 0.500
0.364 0.600 0.268
0.600 0.036 0.268
0.037 0.601 0.731
0.601 0.362 0.731
0.362 0.037 0.731
0.036 0.364 0.268
0.000 0.000 0.003
0.667 0.667 0.501
```

Magnetic moment (Bohr magnetons per cell): 0.00
Uncorrected formation energy (eV per atom): 0.03
Space-group type: No. 143